A plane-wave DFT calculation with PBE-GGA was carried out for a relaxed Nd5Y6Ho2 crystal.

Cell: 3.6120 11.7400 20.6714 Å, 90.00 90.00 90.00°
Last column: nearest neighbours and their distance in Å.
Positions (direct):
Nd 0.5000 0.6997 0.5498  6 Y 3.56-3.65, 3 Nd 3.61-3.67, 2 Ho 3.78
Y 0.0000 0.9402 0.9184  6 Nd 3.53-3.65, 5 Y 3.61-3.78, 1 Ho 3.78
Nd 0.5000 0.0843 0.2279  5 Y 3.37-3.53, 4 Ho 3.51-3.64, 2 Nd 3.61
Y 0.0000 0.0817 0.3689  1 Ho 3.34, 6 Nd 3.40-3.56, 4 Y 3.52-3.61
Y 0.0000 0.0598 0.0816  6 Nd 3.53-3.65, 5 Y 3.61-3.78, 1 Ho 3.78
Nd 0.5000 0.8003 0.0498  6 Y 3.56-3.65, 3 Nd 3.61-3.67, 2 Ho 3.78
Y 0.0000 0.4183 0.8689  1 Ho 3.34, 6 Nd 3.40-3.56, 4 Y 3.52-3.61
Nd 0.5000 0.5000 0.0000  6 Y 3.40-3.53, 4 Nd 3.61-3.67
Y 0.0000 0.9183 0.6311  1 Ho 3.34, 6 Nd 3.40-3.56, 4 Y 3.52-3.61
Ho 0.0000 0.6699 0.7098  3 Y 3.34-3.62, 4 Nd 3.51-3.64, 2 Ho 3.61
Nd 0.5000 0.3003 0.4502  6 Y 3.56-3.65, 3 Nd 3.61-3.67, 2 Ho 3.78
Y 0.5000 0.1753 0.6385  2 Nd 3.37-3.53, 4 Y 3.52-3.61, 2 Ho 3.62
Nd 0.5000 0.9157 0.7721  5 Y 3.37-3.53, 4 Ho 3.51-3.64, 2 Nd 3.61
Y 0.0000 0.5598 0.4184  6 Nd 3.53-3.65, 5 Y 3.61-3.78, 1 Ho 3.78
Ho 0.0000 0.8301 0.2098  3 Y 3.34-3.62, 4 Nd 3.51-3.64, 2 Ho 3.61
Nd 0.5000 0.5843 0.2721  5 Y 3.37-3.53, 4 Ho 3.51-3.64, 2 Nd 3.61
Y 0.5000 0.6753 0.8615  2 Nd 3.37-3.53, 4 Y 3.52-3.61, 2 Ho 3.62
Ho 0.0000 0.1699 0.7902  3 Y 3.34-3.62, 4 Nd 3.51-3.64, 2 Ho 3.61
Y 0.0000 0.5817 0.1311  1 Ho 3.34, 6 Nd 3.40-3.56, 4 Y 3.52-3.61
Y 0.5000 0.3247 0.1385  2 Nd 3.37-3.53, 4 Y 3.52-3.61, 2 Ho 3.62
Nd 0.5000 0.0000 0.5000  6 Y 3.40-3.53, 4 Nd 3.61-3.67
Nd 0.5000 0.1997 0.9502  6 Y 3.56-3.65, 3 Nd 3.61-3.67, 2 Ho 3.78
Nd 0.5000 0.4157 0.7279  5 Y 3.37-3.53, 4 Ho 3.51-3.64, 2 Nd 3.61
Ho 0.0000 0.3301 0.2902  3 Y 3.34-3.62, 4 Nd 3.51-3.64, 2 Ho 3.61
Y 0.5000 0.8247 0.3615  2 Nd 3.37-3.53, 4 Y 3.52-3.61, 2 Ho 3.62
Y 0.0000 0.4402 0.5816  6 Nd 3.53-3.65, 5 Y 3.61-3.78, 1 Ho 3.78

Computed properties:
**Total energy**: -141.1 eV per cell
**Space group**: Pbam (55)
**Volume**: 877 Å³/cell
**Density of states at the Fermi level**: 16.7 states/eV/f.u.
**Total moment**: 0.00 μB/atom